Entry 1:
Computed, not measured: LiW2 after structural relaxation at the PBEsol level of DFT.

Structure (POSCAR):
```
LiW2
1.0
3.965 0.000 0.000
1.982 3.434 0.000
1.982 1.145 3.237
Li W
1 2
Direct
0.000 0.000 0.000 Li
0.250 0.250 0.250 W
0.750 0.750 0.750 W
```

Computed properties:
Formation energy from the elements   1491 meV per atom
Calculated density   14.113 Mg/m³

Entry 2:
Computed, not measured: Na3MnCd after structural relaxation at the PBEsol level of DFT.

Structure (POSCAR):
```
Na3MnCd
1.0
-4.405 0.290 -3.450
3.438 -0.290 -4.414
-0.407 -5.588 0.050
Na Cd Mn
3 1 1
Direct
0.000 0.000 0.500 Na
0.000 0.500 0.000 Na
0.500 0.000 0.000 Na
0.000 0.000 0.000 Cd
0.500 0.500 0.500 Mn
```

Computed properties:
Formation energy from the elements   825 meV per atom
Calculated density   2.231 Mg/m³

Entry 3:
Computed, not measured: CoW after structural relaxation at the PBEsol level of DFT.

Structure (POSCAR):
```
CoW
1.0
2.684 0.000 0.000
1.342 2.325 0.000
1.342 0.775 8.543
Co W
2 2
Direct
0.129 0.129 0.612 Co
0.871 0.871 0.388 Co
0.618 0.618 0.146 W
0.382 0.382 0.854 W
```

Computed properties:
Formation energy from the elements   356 meV per atom
Calculated density   15.125 Mg/m³

Entry 4:
Computed, not measured: La4MnSe6O after structural relaxation at the PBEsol level of DFT.

Structure (POSCAR):
```
La4MnSe6O
1.0
-2.146 6.450 1.688
-9.190 -2.887 -0.652
4.678 -0.648 8.421
Se La O Mn
12 8 2 2
Direct
0.053 0.528 0.056 Se
0.238 0.125 0.875 Se
0.553 0.472 0.528 Se
0.738 0.875 0.125 Se
0.738 0.250 0.125 Se
0.053 0.944 0.472 Se
0.053 0.528 0.472 Se
0.553 0.472 0.944 Se
0.738 0.875 0.750 Se
0.238 0.125 0.250 Se
0.238 0.750 0.875 Se
0.553 0.056 0.528 Se
0.339 0.801 0.601 La
0.839 0.601 0.801 La
0.339 0.801 0.199 La
0.839 0.199 0.801 La
0.289 0.333 0.667 La
0.789 0.667 0.333 La
0.339 0.399 0.199 La
0.839 0.199 0.399 La
0.453 0.667 0.333 O
0.953 0.333 0.667 O
0.516 0.000 0.000 Mn
0.016 0.000 0.000 Mn
```

Computed properties:
Final energy   -6.9420 eV per atom
Calculated density   6.462 Mg/m³

Entry 5:
Computed, not measured: Sr3MgTa2O9 after structural relaxation at the PBEsol level of DFT.

Structure (POSCAR):
```
Sr3MgTa2O9
1.0
5.647 0.000 0.000
-2.824 4.891 0.000
0.000 0.000 6.945
O Mg Ta Sr
9 1 2 3
Direct
0.663 0.831 0.328 O
0.337 0.169 0.672 O
0.831 0.169 0.672 O
0.500 0.500 0.000 O
0.169 0.831 0.328 O
0.500 0.000 0.000 O
0.169 0.337 0.328 O
0.000 0.500 0.000 O
0.831 0.663 0.672 O
0.000 0.000 0.500 Mg
0.333 0.667 0.179 Ta
0.667 0.333 0.821 Ta
0.333 0.667 0.662 Sr
0.000 0.000 0.000 Sr
0.667 0.333 0.338 Sr
```

Computed properties:
Final energy   -8.3620 eV per atom
Calculated density   6.866 Mg/m³

Entry 6:
Computed, not measured: Cs2TmH4 after structural relaxation at the PBEsol level of DFT.

Structure (POSCAR):
```
Cs2TmH4
1.0
4.304 0.000 0.000
0.000 4.304 0.000
-2.152 -2.152 7.730
H Tm Cs
4 1 2
Direct
0.139 0.139 0.279 H
0.500 0.000 0.000 H
0.861 0.861 0.721 H
0.000 0.500 0.000 H
0.000 0.000 0.000 Tm
0.343 0.343 0.687 Cs
0.657 0.657 0.313 Cs
```

Computed properties:
Final energy   -3.0903 eV per atom
Calculated density   5.088 Mg/m³

> Which of these has the highest calculated density?

CoW

> The lowest calculated density belongs to which entry?

Na3MnCd